Here is a relaxed structure of SmVIn from the Alexandria database. Energies are from PBE.

Lattice parameters (Å, degrees): 5.1308 14.7947 4.0122 90.00 90.00 90.00
With the nearest neighbours (Å) after each atom.
Space group Cmcm (No. 63)
One atom of each set of equivalent atoms:
Sm 0.0000 0.1781 0.2500 (multiplicity 4)  3 V 3.00-3.03
V 0.0000 0.0244 0.7500 (multiplicity 4)  2 V 2.13
In 0.0000 0.4059 0.2500 (multiplicity 4)  2 V 2.76

Calculated values
The calculation puts the total energy at -5.378 eV per atom. The calculation puts the spin magnetization at 0.00 μB/cell. For the formation enthalpy at 0 K, the calculation gives 0.147 eV/atom.